1.
# CaCu4Ag

CaCu4Ag at its PBEsol-relaxed geometry (SCAN, the Alexandria database).

Energy relative to the elements   -111.7 meV per atom
M_tot   0.0 μB/f.u.

Lattice parameters (Å, degrees): 7.048 7.048 7.048 90.00 90.00 90.00
Space group F-43m (No. 216)
Inequivalent atoms, fractional coordinates:
1 Ca 0.000 0.000 0.000
2 Cu 0.124 0.124 0.376
3 Ag 0.250 0.250 0.750

=====

2.
# Zr5Sc4

Zr5Sc4 at its PBEsol-relaxed geometry (SCAN, the Alexandria database).

Energy relative to the elements   29.7 meV per atom
E above lowest polymorph   0.00 eV per formula unit
M_tot   0.0 μB/f.u.

Lattice parameters (Å, degrees): 8.5564 8.5564 6.3249 90.00 90.00 120.00
Space group P6_3/mcm (No. 193)
Inequivalent atoms, fractional coordinates:
1 Zr 0.0000 0.3383 0.2500
2 Zr 0.3333 0.6667 0.0000
3 Sc 0.0000 0.0000 0.0000
4 Sc 0.0000 0.3321 0.7500

=====

3.
# Rb3RuPt

Rb3RuPt at its PBEsol-relaxed geometry (SCAN, the Alexandria database).

Energy relative to the elements   1321.6 meV per atom
M_tot   0.3 μB/f.u.

Lattice parameters (Å, degrees): 5.402 5.402 5.402 90.00 90.00 90.00
Space group Pm-3m (No. 221)
Inequivalent atoms, fractional coordinates:
1 Rb 0.000 0.000 0.500
2 Ru 0.000 0.000 0.000
3 Pt 0.500 0.500 0.500

=====

We obtain DFT total energy values of -17.083; -23.353; -32.126 eV per atom for the records listed above, in that order.